1.
Below is BiAuS2 after structural relaxation, with properties calculated at the GGA-PBE level.

## Properties
Formation energy (no corrections), eV per atom: -0.192

Geometry as POSCAR:
```
BiAuS2
1.0
6.587 -3.802 0.000
6.587 3.802 0.000
-0.923 0.000 4.261
Bi Au S
2 2 4
Cartesian
0.000 0.000 0.000 Bi
6.781 0.000 4.104 Bi
4.042 1.855 2.422 Au
4.042 -1.855 2.422 Au
7.625 1.964 1.605 S
4.113 0.000 3.835 S
10.706 0.000 1.080 S
7.625 -1.964 1.605 S
```

=====

2.
Below is Rb3GaI6 after structural relaxation, with properties calculated at the GGA-PBE level.

## Properties
Formation energy (no corrections), eV per atom: -0.967

Geometry as POSCAR:
```
Rb3GaI6
1.0
0.000 6.274 6.274
6.274 0.000 6.274
6.274 6.274 0.000
Rb Ga I
3 1 6
Cartesian
0.000 0.000 0.000 Rb
3.137 3.137 3.137 Rb
9.410 9.410 9.410 Rb
6.274 6.274 6.274 Ga
6.274 6.274 3.462 I
6.274 3.462 6.274 I
9.085 6.274 6.274 I
3.462 6.274 6.274 I
6.274 9.085 6.274 I
6.274 6.274 9.085 I
```

=====

3.
Below is Fe2NiRu after structural relaxation, with properties calculated at the GGA-PBE level.

## Properties
DFT formation energy, eV/f.u.: 0.6

Geometry as POSCAR:
```
Fe2NiRu
1.0
2.974 0.000 0.000
0.000 4.060 0.000
0.000 0.000 4.127
Fe Ni Ru
2 1 1
Cartesian
0.000 0.000 0.000 Fe
1.487 0.000 2.063 Fe
0.000 2.030 2.063 Ni
1.487 2.030 0.000 Ru
```

=====

It is found that the M_tot values, taken in the order of the records, are 0.000; 0.000; 6.924 μB per formula unit.